Below is Ce2SeCl5 after structural relaxation, with properties calculated at the PBE level.

a b c (Å): 4.453 8.787 10.121
angles (deg): 90.00 90.00 90.00
Space group Immm (No. 71)
Unique sites:
Ce: 0.000 0.000 0.230 [4 per cell]
Se: 0.000 0.500 0.500 [2 per cell]
Cl: 0.000 0.000 0.500 [2 per cell]
Cl: 0.000 0.320 0.167 [8 per cell]

Computed properties:
Final energy   -4.92 eV/atom
Total moment   1.0 μB/f.u.
Formation energy from raw total energies   -1.85 eV/atom